A relaxed PrTmCl3 crystal. Source: Alexandria, functional PBE.

Its size of the total moment is 0.00 Bohr magnetons per cell. As for the total energy: -4.778 eV/atom.

The structure belongs to space group C2/m (No. 12); the cell edges are 16.7192, 3.8376 and 10.9673 Å and the angles 90.00°, 121.45° and 90.00°. The asymmetric unit holds Pr at (0.1408, 0.0000, 0.2908), Tm at (0.0790, 0.5000, 0.9558), Cl at (0.0453, 0.0000, 0.7596), Cl at (0.1591, 0.5000, 0.5088) and Cl at (0.2137, 0.0000, 0.1088).

---

A relaxed Li2Pb crystal. Source: Alexandria, functional PBE.

The value obtained for the formation energy is -0.251 eV/atom. Its size of the total moment is 0.00 Bohr magnetons per cell. As for the total energy: -2.763 eV/atom.

The structure belongs to space group I4_1/amd (No. 141, origin choice 2); the cell edges are 4.3823, 4.3823 and 25.8957 Å and the angles 90.00°, 90.00° and 90.00°. The asymmetric unit holds Li at (0.0000, 0.2500, 0.1221), Li at (0.0000, 0.2500, 0.7874) and Pb at (0.0000, 0.2500, 0.2962).